No. 1
## Ac2PuGe4Ir3 (PBE-GGA)

Data for crystalline Ac2PuGe4Ir3 at its relaxed geometry.

a = 4.399 Å, b = 4.399 Å, c = 11.225 Å
α = 90.00°, β = 90.00°, γ = 90.00°
Sites, in units of the cell vectors:
Ge1 0.500 0.000 0.667
Ge2 0.500 0.500 0.000
Ac1 0.500 0.000 0.232
Ge3 0.000 0.000 0.000
Ge4 0.000 0.500 0.333
Ir1 0.000 0.500 0.112
Ac2 0.000 0.500 0.768
Pu1 0.500 0.500 0.500
Ir2 0.500 0.000 0.888
Ir3 0.000 0.000 0.500

---

No. 2
## LiPrScOs (PBE-GGA)

Data for crystalline LiPrScOs at its relaxed geometry.

a = 4.863 Å, b = 4.863 Å, c = 4.863 Å
α = 60.00°, β = 60.00°, γ = 60.00°
Sites, in units of the cell vectors:
Pr1 0.250 0.250 0.250
Sc1 0.750 0.750 0.750
Os1 0.500 0.500 0.500
Li1 0.000 0.000 0.000

---

Number 1: magnetic moment 5.0 μB per cell, E -73.8 eV per cell. Number 2: magnetic moment 0.0 μB per cell, E -24.8 eV per cell.